The following is a GGA-PBE calculation of a relaxed structure of DyCu3Si3, from Alexandria.

```
14
Lattice="6.3815 0.0000 0.0000 0.0000 6.3815 0.0000 0.0000 0.0000 6.3815" Properties=species:S:1:pos:R:3 pbc="T T T"
Dy 0.0000 0.0000 0.0000
Dy 3.1907 3.1907 3.1907
Cu 0.0000 1.5954 3.1907
Cu 0.0000 4.7861 3.1907
Cu 1.5954 3.1907 0.0000
Cu 3.1907 0.0000 1.5954
Cu 3.1907 0.0000 4.7861
Cu 4.7861 3.1907 0.0000
Si 0.0000 3.1907 1.5954
Si 0.0000 3.1907 4.7861
Si 1.5954 0.0000 3.1907
Si 3.1907 1.5954 0.0000
Si 3.1907 4.7861 0.0000
Si 4.7861 0.0000 3.1907
```

Output
* energy relative to the elements, uncorrected: 0.132 eV/atom
* D(E_F): 3.5 states/eV/f.u.